[1]
# Sc3ZnIr | the Alexandria database | PBE | relaxed
data_Sc3ZnIr
_chemical_formula_sum 'Sc3 Zn1 Ir1'
_symmetry_space_group_name_H-M 'P m -3 m'
_symmetry_Int_Tables_number 221
_symmetry_space_group_name_Hall '-P 4 2 3'
_cell_length_a 5.030
_cell_length_b 5.030
_cell_length_c 5.030
_cell_angle_alpha 90.00
_cell_angle_beta 90.00
_cell_angle_gamma 90.00
loop_
_atom_site_label
_atom_site_fract_x
_atom_site_fract_y
_atom_site_fract_z
_atom_site_occupancy
Sc1 0.000 0.000 0.500 1
Zn1 0.500 0.500 0.500 1
Ir1 0.000 0.000 0.000 1
# Total energy   -5.987 eV per atom
# Total magnetic moment   0.000 μB/atom
# DOS(E_F)   6.3 states/eV/cell
# Formation enthalpy at 0 K   -0.804 eV per formula unit
# Excess energy over the best structure of this formula in the dataset   2.04 eV per formula unit

=====

[2]
# Cd2Pt7Rh2 | the Alexandria database | PBE | relaxed
data_Cd2Pt7Rh2
_chemical_formula_sum 'Cd4 Pt14 Rh4'
_symmetry_space_group_name_H-M 'C 1 m 1'
_symmetry_Int_Tables_number 8
_cell_length_a 7.888
_cell_length_b 10.446
_cell_length_c 4.818
_cell_angle_alpha 90.00
_cell_angle_beta 112.64
_cell_angle_gamma 90.00
loop_
_symmetry_equiv_pos_as_xyz
'x,y,z'
'x,-y,z'
'x+1/2,y+1/2,z'
'x+1/2,-y+1/2,z'
loop_
_atom_site_label
_atom_site_fract_x
_atom_site_fract_y
_atom_site_fract_z
_atom_site_occupancy
Cd1 0.000 0.228 0.000 1
Pt1 0.003 0.366 0.501 1
Pt2 0.186 0.130 0.612 1
Pt3 0.195 0.000 0.114 1
Pt4 0.318 0.371 0.388 1
Rh1 0.006 0.500 0.000 1
Rh2 0.302 0.500 0.882 1
# Total energy   -5.379 eV per atom
# Total magnetic moment   0.000 μB/atom
# DOS(E_F)   26.0 states/eV/cell
# Formation enthalpy at 0 K   -0.355 eV per formula unit

=====

[3]
# Ag2AuCl | the Alexandria database | PBE | relaxed
data_Ag2AuCl
_chemical_formula_sum 'Ag8 Au4 Cl4'
_symmetry_space_group_name_H-M 'F -4 3 m'
_symmetry_Int_Tables_number 216
_symmetry_space_group_name_Hall 'F -4 2 3'
_cell_length_a 6.759
_cell_length_b 6.759
_cell_length_c 6.759
_cell_angle_alpha 90.00
_cell_angle_beta 90.00
_cell_angle_gamma 90.00
loop_
_atom_site_label
_atom_site_fract_x
_atom_site_fract_y
_atom_site_fract_z
_atom_site_occupancy
Ag1 0.000 0.000 0.000 1
Ag2 0.250 0.250 0.250 1
Au1 0.250 0.250 0.750 1
Cl1 0.000 0.000 0.500 1
# Energy relative to the elements, uncorrected   0.78 eV per formula unit
# Total energy   -2.510 eV per atom
# Total magnetic moment   0.000 μB/atom
# DOS(E_F)   1.5 states/eV/cell
# Excess energy over the best structure of this formula in the dataset   1.30 eV per formula unit

=====

[4]
# Zn2GaCuS4 | the Alexandria database | PBE | relaxed
data_Zn2GaCuS4
_chemical_formula_sum 'Zn4 Ga2 Cu2 S8'
_symmetry_space_group_name_H-M 'I -4 2 m'
_symmetry_Int_Tables_number 121
_symmetry_space_group_name_Hall 'I -4 2'
_cell_length_a 5.411
_cell_length_b 5.411
_cell_length_c 10.740
_cell_angle_alpha 90.00
_cell_angle_beta 90.00
_cell_angle_gamma 90.00
loop_
_atom_site_label
_atom_site_fract_x
_atom_site_fract_y
_atom_site_fract_z
_atom_site_occupancy
Zn1 0.000 0.500 0.250 1
Ga1 0.000 0.000 0.000 1
Cu1 0.000 0.000 0.500 1
S1 0.250 0.250 0.122 1
# Energy relative to the elements, uncorrected   -5.54 eV per formula unit
# Total energy   -3.965 eV per atom
# Total magnetic moment   0.000 μB/atom